(1)
A relaxed structure of ZrIr2Rh. Source: Alexandria via LeMat-Bulk, functional GGA-PBE.

a = 3.400 Å, b = 3.400 Å, c = 5.689 Å
α = 90.00°, β = 90.00°, γ = 90.00°
Fractional coordinates of all 4 atoms:
Zr (0.000, 0.000, 0.000)
Ir (0.000, 0.000, 0.485)
Ir (0.500, 0.500, 0.279)
Rh (0.500, 0.500, 0.744)

Properties
- D(E_F) (states/eV/cell) = 5.13

(2)
A relaxed structure of Ca4In3Cu. Source: Alexandria via LeMat-Bulk, functional GGA-PBE.

a = 3.771 Å, b = 3.771 Å, c = 15.473 Å
α = 90.00°, β = 90.00°, γ = 90.00°
Fractional coordinates of all 8 atoms:
Ca (0.000, 0.000, 0.112)
Ca (0.000, 0.000, 0.371)
Ca (0.000, 0.000, 0.629)
Ca (0.000, 0.000, 0.888)
In (0.500, 0.500, 0.243)
In (0.500, 0.500, 0.500)
In (0.500, 0.500, 0.757)
Cu (0.500, 0.500, 0.000)

Properties
- D(E_F) (states/eV/cell) = 6.59

no.,energy of formation (eV per atom)
1,-0.30
2,-0.34